1.
This record from Alexandria via LeMat-Bulk describes NaIrRhCl2 after structural relaxation. The functional is GGA-PBEsol.

For the formation energy (no corrections), the calculation gives 33.6 kcal/mol of atoms.

Cell lengths 4.515, 4.515, 4.969 Å; angles 90.00, 90.00, 90.00 degrees
Positions (direct):
Na (0.000, 0.000, 0.000)
Ir (0.500, 0.500, 0.500)
Rh (0.000, 0.000, 0.500)
Cl (0.000, 0.500, 0.000)
Cl (0.500, 0.000, 0.000)

***

2.
This record from Alexandria via LeMat-Bulk describes NaIrS2Cl after structural relaxation. The functional is GGA-PBEsol.

For the formation energy (no corrections), the calculation gives 33.9 kcal/mol of atoms.

Cell lengths 4.717, 4.717, 4.547 Å; angles 90.00, 90.00, 90.00 degrees
Positions (direct):
Na (0.000, 0.000, 0.000)
Ir (0.500, 0.500, 0.500)
S (0.000, 0.500, 0.000)
S (0.500, 0.000, 0.000)
Cl (0.000, 0.000, 0.500)

***

| no. | V (Å³/cell) |
| --- | --- |
| 1 | 101 |
| 2 | 101 |